PBE-GGA La2Nd2O5, relaxed; E above lowest polymorph = 1.01 eV/f.u.; total magnetic moment = 0.110 μB per atom
1.0
7.365 0.000 0.000
0.000 4.624 0.000
0.000 0.000 4.624
O Nd La
5 2 2
Direct
0.220 0.500 0.000
0.780 0.500 0.000
0.500 0.500 0.500
0.220 0.000 0.500
0.780 0.000 0.500
0.000 0.000 0.000
0.500 0.000 0.000
0.790 0.500 0.500
0.210 0.500 0.500

***

PBE-GGA Sm2YTe2, relaxed; total magnetic moment = 0.004 μB per atom
1.0
-3.948 -11.201 1.076
-6.006 -7.400 5.637
-3.890 -1.711 -4.628
Sm Y Te
4 2 4
Direct
0.625 0.125 0.625
0.625 0.625 0.125
0.125 0.625 0.625
0.625 0.625 0.625
0.750 0.750 0.750
0.500 0.500 0.500
0.042 0.042 0.458
0.208 0.208 0.792
0.792 0.792 0.208
0.458 0.458 0.042

***

Below is LiBPd3 after structural relaxation, with properties calculated at the PBE-GGA level.

Structure (POSCAR):
```
LiBPd3
1.0
5.507 0.000 0.000
-2.753 4.769 0.000
0.000 0.000 5.519
Pd Li B
6 2 2
Direct
0.500 0.500 0.244
0.000 0.500 0.756
0.000 0.500 0.244
0.500 0.500 0.756
0.500 0.000 0.244
0.500 0.000 0.756
0.000 0.000 0.500
0.000 0.000 0.000
0.333 0.667 0.500
0.667 0.333 0.500
```

***

PBE-GGA TlPAuO, relaxed; E above lowest polymorph = 0.16 eV/f.u.
1.0
-3.916 -0.381 -1.536
1.580 -0.732 -3.847
0.166 -8.555 1.697
Au O Tl P
2 2 2 2
Direct
0.250 0.750 0.500
0.750 0.250 0.500
0.250 0.750 0.000
0.750 0.250 0.000
0.750 0.750 0.884
0.250 0.250 0.116
0.250 0.250 0.655
0.750 0.750 0.345

***

PBE-GGA SrLaAgTe3, relaxed; total magnetic moment = 0.000 μB per atom
1.0
8.670 0.000 0.000
0.000 4.517 0.000
-2.583 0.000 10.424
Sr Te La Ag
2 6 2 2
Direct
0.759 0.750 0.205
0.241 0.250 0.795
0.271 0.750 0.035
0.429 0.750 0.650
0.042 0.250 0.340
0.729 0.250 0.965
0.571 0.250 0.350
0.958 0.750 0.660
0.699 0.250 0.661
0.301 0.750 0.339
0.918 0.750 0.915
0.082 0.250 0.085

***

PBE-GGA KHoO3, relaxed; total magnetic moment = 0.400 μB per atom
1.0
-3.201 -0.449 -2.936
-0.698 -4.082 1.385
-2.900 1.491 2.933
O K Ho
3 1 1
Direct
0.500 0.500 0.082
0.500 0.000 0.584
0.000 0.500 0.584
0.000 0.000 0.069
0.500 0.500 0.581

***

no.,E_tot (eV per atom)
1,-7.335
2,-4.593
3,-5.191
4,-3.976
5,-4.417
6,-5.994